{
  "formula": "Ga2SiGe2",
  "functional": "PBE",
  "state": "optimized geometry",
  "lattice": [[7.5963, 0.0000, 0.0000], [0.0000, 7.5963, 0.0000], [0.0000, 0.0000, 3.2789]],
  "species": ["Ge", "Ge", "Ge", "Ge", "Ga", "Ga", "Ga", "Ga", "Si", "Si"],
  "frac_coords": [[0.3277, 0.8277, 0.0000], [0.1723, 0.3277, 0.0000], [0.8277, 0.6723, 0.0000], [0.6723, 0.1723, 0.0000], [0.8697, 0.3697, 0.5000], [0.1303, 0.6303, 0.5000], [0.6303, 0.8697, 0.5000], [0.3697, 0.1303, 0.5000], [0.5000, 0.5000, 0.0000], [0.0000, 0.0000, 0.0000]],
  "raw_formation_energy_ev_per_atom": 0.337,
  "relative_energy_ev_per_atom": 0.000
}

{
  "formula": "TmHfZnRe",
  "functional": "PBE",
  "state": "optimized geometry",
  "lattice": [[-3.1856, -2.7072, 2.2700], [1.4601, -3.2875, 3.1130], [-0.7663, 0.6240, 4.6533]],
  "species": ["Tm", "Re", "Hf", "Zn"],
  "frac_coords": [[0.7500, 0.7500, 0.7500], [0.5000, 0.5000, 0.5000], [0.2500, 0.2500, 0.2500], [0.0000, 0.0000, 0.0000]],
  "formation_energy_kj_per_mol_atoms": -15.5
}

{
  "formula": "TbY6Ho12",
  "functional": "PBE",
  "state": "optimized geometry",
  "lattice": [[-6.1549, -3.7452, 5.0322], [7.0440, -1.9312, 4.8872], [-1.1178, 8.3367, 2.5462]],
  "species": ["Ho", "Ho", "Ho", "Ho", "Ho", "Ho", "Ho", "Ho", "Ho", "Ho", "Ho", "Ho", "Y", "Y", "Y", "Y", "Y", "Y", "Tb"],
  "frac_coords": [[0.5000, 0.8821, 0.1179], [0.4711, 0.1849, 0.4711], [0.1849, 0.4711, 0.4711], [0.8821, 0.1179, 0.5000], [0.1179, 0.8821, 0.5000], [0.4711, 0.4711, 0.1849], [0.5289, 0.5289, 0.8151], [0.5000, 0.1179, 0.8821], [0.5289, 0.8151, 0.5289], [0.8821, 0.5000, 0.1179], [0.1179, 0.5000, 0.8821], [0.8151, 0.5289, 0.5289], [0.2561, 0.7965, 0.7965], [0.7965, 0.7965, 0.2561], [0.7439, 0.2035, 0.2035], [0.7965, 0.2561, 0.7965], [0.2035, 0.7439, 0.2035], [0.2035, 0.2035, 0.7439], [0.0000, 0.0000, 0.0000]],
  "formation_energy_kj_per_mol_atoms": 45.6,
  "relative_energy_ev_per_atom": 0.255
}

{
  "formula": "TlOsRu2",
  "functional": "PBE",
  "state": "optimized geometry",
  "lattice": [[-3.4558, 2.3910, 1.6155], [-4.1293, -1.7916, 0.0917], [-1.8763, -1.1308, 3.9332]],
  "species": ["Ru", "Ru", "Os", "Tl"],
  "frac_coords": [[0.2500, 0.2500, 0.2500], [0.0000, 0.0000, 0.0000], [0.5000, 0.5000, 0.5000], [0.7500, 0.7500, 0.7500]],
  "formation_energy_kj_per_mol_atoms": 82.6,
  "relative_energy_ev_per_atom": 0.446
}

{
  "formula": "Ce2ThBi",
  "functional": "PBE",
  "state": "optimized geometry",
  "lattice": [[4.5708, 0.0000, 0.0231], [0.0000, 4.3917, 0.0000], [-2.1330, 0.0000, 11.8435]],
  "species": ["Bi", "Bi", "Th", "Th", "Ce", "Ce", "Ce", "Ce"],
  "frac_coords": [[0.8221, 0.7500, 0.6760], [0.1779, 0.2500, 0.3240], [0.2936, 0.2500, 0.6055], [0.7064, 0.7500, 0.3945], [0.3978, 0.7500, 0.8897], [0.0049, 0.2500, 0.8886], [0.9951, 0.7500, 0.1114], [0.6022, 0.2500, 0.1103]],
  "formation_energy_kj_per_mol_atoms": -29.0,
  "relative_energy_ev_per_atom": 0.036
}

{
  "formula": "LiFeSiP2",
  "functional": "PBE",
  "state": "optimized geometry",
  "lattice": [[-3.3515, 2.8348, -0.7782], [-1.7399, -2.8641, -2.9401], [-2.2333, -1.7970, 3.0721]],
  "species": ["Fe", "Si", "Li", "P", "P"],
  "frac_coords": [[0.5000, 0.5000, 0.5000], [0.0000, 0.0000, 0.0000], [0.0000, 0.0000, 0.5000], [0.0000, 0.5000, 0.0000], [0.5000, 0.0000, 0.0000]],
  "raw_formation_energy_ev_per_atom": 1.098
}

{
  "formula": "SrNiRh2",
  "functional": "PBE",
  "state": "optimized geometry",
  "lattice": [[4.3519, 0.0000, 0.0000], [0.0000, 2.9283, 0.1074], [0.0000, 1.2831, 5.7234]],
  "species": ["Sr", "Rh", "Rh", "Ni"],
  "frac_coords": [[0.0000, 0.5510, 0.5294], [0.5000, 0.2333, 0.1544], [0.0000, 0.8000, 0.0208], [0.5000, 0.9158, 0.7953]],
  "formation_energy_kj_per_mol_atoms": 17.6,
  "relative_energy_ev_per_atom": 0.258
}

{
  "formula": "Ba4Cu11Te8S2",
  "functional": "PBE",
  "state": "optimized geometry",
  "lattice": [[-2.0434, 3.1899, 2.0775], [1.2996, -4.6296, 8.3868], [12.5003, 6.8456, 1.7841]],
  "species": ["Ba", "Ba", "Ba", "Ba", "Te", "Te", "Te", "Te", "Te", "Te", "Te", "Te", "Cu", "Cu", "Cu", "Cu", "Cu", "Cu", "Cu", "Cu", "Cu", "Cu", "Cu", "S", "S"],
  "frac_coords": [[0.5000, 0.4863, 0.6657], [0.5000, 0.9794, 0.8445], [0.5000, 0.0210, 0.1587], [0.5000, 0.5188, 0.3431], [0.0000, 0.6920, 0.8106], [0.5000, 0.1728, 0.4092], [0.0000, 0.3089, 0.1951], [0.5000, 0.8310, 0.5918], [0.5000, 0.3348, 0.9116], [0.5000, 0.6665, 0.0936], [0.0000, 0.2004, 0.7021], [0.0000, 0.8026, 0.3002], [0.5000, 0.6127, 0.9097], [0.0000, 0.7557, 0.4860], [0.0000, 0.2501, 0.0018], [0.0000, 0.7518, 0.9898], [0.5000, 0.1291, 0.5959], [0.0000, 0.0189, 0.4121], [0.0000, 0.9852, 0.5895], [0.0000, 0.5085, 0.0561], [0.5000, 0.3750, 0.0940], [0.0000, 0.2499, 0.5167], [0.5000, 0.8748, 0.4060], [0.0000, 0.5025, 0.5031], [0.0000, 0.9988, 0.0032]],
  "raw_formation_energy_ev_per_atom": -0.659
}

{
  "formula": "TlCuBr2",
  "functional": "PBE",
  "state": "optimized geometry",
  "lattice": [[-0.5007, 7.2780, -2.2014], [-3.1973, 6.2207, 3.0242], [4.3956, -6.1393, 1.0261]],
  "species": ["Tl", "Br", "Br", "Cu"],
  "frac_coords": [[0.7500, 0.2500, 0.5000], [0.2500, 0.7500, 0.5000], [0.0000, 0.0000, 0.0000], [0.5000, 0.5000, 0.0000]],
  "raw_formation_energy_ev_per_atom": -0.100,
  "relative_energy_ev_per_atom": 0.441
}

{
  "formula": "Al4Pd",
  "functional": "PBE",
  "state": "optimized geometry",
  "lattice": [[4.7420, 0.0000, 0.0000], [0.0000, 4.7420, 0.0000], [0.0000, 0.0000, 4.7420]],
  "species": ["Al", "Al", "Al", "Al", "Pd"],
  "frac_coords": [[0.0000, 0.0000, 0.0000], [0.5000, 0.5000, 0.0000], [0.0000, 0.5000, 0.5000], [0.5000, 0.0000, 0.5000], [0.5000, 0.5000, 0.5000]],
  "formation_energy_kj_per_mol_atoms": 8.8,
  "relative_energy_ev_per_atom": 0.409
}

{
  "formula": "VSn2Br",
  "functional": "PBE",
  "state": "optimized geometry",
  "lattice": [[-4.0053, -3.2899, 0.0125], [-2.9546, -0.4700, 4.2327], [-4.8518, 1.8237, -0.0107]],
  "species": ["Br", "Sn", "Sn", "V"],
  "frac_coords": [[0.5000, 0.5000, 0.5000], [0.2500, 0.2500, 0.2500], [0.7500, 0.7500, 0.7500], [0.0000, 0.0000, 0.0000]],
  "raw_formation_energy_ev_per_atom": 0.552,
  "relative_energy_ev_per_atom": 0.000
}

{
  "formula": "Ce2SmIr",
  "functional": "PBE",
  "state": "optimized geometry",
  "lattice": [[-2.7822, -2.5853, 0.0822], [2.5558, -0.1408, -5.5074], [6.3386, -6.7226, 3.1134]],
  "species": ["Ir", "Ir", "Ce", "Ce", "Ce", "Ce", "Sm", "Sm"],
  "frac_coords": [[0.7051, 0.4111, 0.2500], [0.2949, 0.5889, 0.7500], [0.8607, 0.7208, 0.9428], [0.1393, 0.2792, 0.4428], [0.8607, 0.7208, 0.5572], [0.1393, 0.2792, 0.0572], [0.5793, 0.1583, 0.7500], [0.4207, 0.8417, 0.2500]],
  "formation_energy_kj_per_mol_atoms": -40.5,
  "relative_energy_ev_per_atom": 0.004
}

For each record above, in turn, the calculated DFT total energy values are -38.051, -28.789, -89.374, -28.725, -48.738, -21.132, -21.436, -102.614, -10.209, -19.709, -16.590, -54.257 eV per cell.
For each record above, in turn, the calculated total magnetization values are 0.0, 0.0, 0.0, 1.3, 0.0, 0.1, 0.4, 0.0, 0.0, 0.0, 3.4, 0.7 μB per formula unit.